The following is a DFT calculation (PBE with a Hubbard U) of a relaxed structure of Pr2NiPbO6.

For the total DFT energy (no corrections), the calculation gives -0.4924 Ry per atom. Its crystal system is monoclinic.

a b c (Å): 5.6583 5.9493 9.8647
angles (deg): 90.00 124.04 90.00
With the nearest neighbours (Å) after each atom.
Positions (direct):
1 Pr 0.2279 0.0638 0.2489  6 O 2.37-2.64
2 Pr 0.2279 0.4362 0.7489  6 O 2.37-2.64
3 Pr 0.7721 0.5638 0.2511  6 O 2.37-2.64
4 Pr 0.7721 0.9362 0.7511  6 O 2.37-2.64
5 Ni 0.0000 0.0000 0.5000  6 O 2.10-2.13
6 Ni 0.0000 0.5000 0.0000  6 O 2.10-2.13
7 Pb 0.5000 0.0000 0.0000  6 O 2.19-2.21
8 Pb 0.5000 0.5000 0.5000  6 O 2.19-2.21
9 O 0.1280 0.2018 0.9389  1 Ni 2.13, 1 Pb 2.19
10 O 0.1280 0.2982 0.4389  1 Ni 2.13, 1 Pb 2.19
11 O 0.2371 0.6940 0.9385  1 Ni 2.10, 1 Pb 2.21
12 O 0.2371 0.8060 0.4385  1 Ni 2.10, 1 Pb 2.21
13 O 0.3618 0.0452 0.7438  1 Ni 2.13, 1 Pb 2.20, 1 Pr 2.37
14 O 0.3618 0.4548 0.2438  1 Ni 2.13, 1 Pb 2.20, 1 Pr 2.37
15 O 0.6382 0.5452 0.7562  1 Ni 2.13, 1 Pb 2.20, 1 Pr 2.37
16 O 0.6382 0.9548 0.2562  1 Ni 2.13, 1 Pb 2.20, 1 Pr 2.37
17 O 0.7629 0.1940 0.5615  1 Ni 2.10, 1 Pb 2.21
18 O 0.7629 0.3060 0.0615  1 Ni 2.10, 1 Pb 2.21
19 O 0.8720 0.7018 0.5611  1 Ni 2.13, 1 Pb 2.19
20 O 0.8720 0.7982 0.0611  1 Ni 2.13, 1 Pb 2.19